VASP calculation (GGA+U) on V11NiO18 after structural relaxation.

## Properties
Final energy (eV/f.u.): -233.4

abc: 5.5469 8.8959 7.5298
angles: 66.95 96.18 74.42
Element x y z (fractional)
Ni  0.0402  0.3296  0.4820
O  0.3957  0.8920  0.1526
O  0.0327  0.2302  0.7895
O  0.3741  0.5662  0.1254
O  0.2657  0.4691  0.5138
O  0.9333  0.4346  0.1801
O  0.6309  0.4364  0.8763
O  0.7120  0.5508  0.4685
O  0.7037  0.8976  0.4478
O  0.5981  0.7975  0.8509
O  0.9374  0.1295  0.1867
O  0.0617  0.8664  0.8171
O  0.0659  0.5678  0.8136
O  0.9751  0.7668  0.2154
O  0.7228  0.2311  0.4849
O  0.3024  0.0936  0.5527
O  0.6003  0.1027  0.8548
O  0.4020  0.2046  0.1478
O  0.2698  0.7660  0.5150
V  0.9676  0.6679  0.5167
V  0.2984  0.0017  0.3509
V  0.2952  0.0014  0.8501
V  0.0371  0.3334  0.9817
V  0.9655  0.6639  0.0210
V  0.3752  0.6611  0.3234
V  0.6358  0.3329  0.1871
V  0.7024  0.0014  0.1482
V  0.6313  0.3354  0.6789
V  0.3691  0.6672  0.8172
V  0.6987  0.0012  0.6496